Entry 1:
Here is a relaxed structure of LiTb2HoSe5 from Alexandria via LeMat-Bulk. Energies are from PBE.

Cell: 4.0587 8.7358 12.3618 Å, 90.00 90.00 103.43°
Element x y z (fractional)
Li1 0.5128 0.0256 0.9814
Li2 0.4872 0.9744 0.4814
Tb1 0.8748 0.7497 0.7933
Tb2 0.1074 0.2147 0.6846
Tb3 0.1252 0.2503 0.2933
Tb4 0.8926 0.7853 0.1846
Ho1 0.8043 0.6086 0.5016
Ho2 0.1957 0.3914 0.0016
Se1 0.3621 0.7243 0.9999
Se2 0.6925 0.3851 0.8404
Se3 0.5001 0.0002 0.7848
Se4 0.2852 0.5703 0.6627
Se5 0.9541 0.9083 0.5752
Se6 0.6379 0.2757 0.4999
Se7 0.3075 0.6149 0.3404
Se8 0.4999 0.9998 0.2848
Se9 0.7148 0.4297 0.1627
Se10 0.0459 0.0917 0.0752

* spin magnetization: 0.0 μB/f.u.
* formation energy from raw total energies: -1.701 eV/atom

---

Entry 2:
Here is a relaxed structure of SiSbIrI2 from Alexandria via LeMat-Bulk. Energies are from PBE.

Cell: 5.5587 5.5587 4.9863 Å, 90.00 90.00 90.00°
Each line ends with the local moment (μB).
Element x y z (fractional)
I1 0.0000 0.5000 0.0000  0.01
I2 0.5000 0.0000 0.0000  0.01
Sb1 0.0000 0.0000 0.5000  0.00
Si1 0.5000 0.5000 0.5000  0.22
Ir1 0.0000 0.0000 0.0000  0.04

* spin magnetization: 0.8 μB/f.u.
* formation energy from raw total energies: 0.821 eV/atom

---

Entry 3:
Here is a relaxed structure of ErThNiIr from Alexandria via LeMat-Bulk. Energies are from PBE.

Cell: 3.7578 4.4108 5.4987 Å, 90.00 109.98 90.00°
Element x y z (fractional)
Er1 0.8621 0.5000 0.7242
Th1 0.1386 0.0000 0.2771
Ni1 0.5831 0.5000 0.1663
Ir1 0.4162 0.0000 0.8324

* E_tot: -7.372 eV/atom
* spin magnetization: 0.0 μB/f.u.

---

Entry 4:
Here is a relaxed structure of BiTe2Pb2 from Alexandria via LeMat-Bulk. Energies are from PBE.

Cell: 4.3170 4.3170 9.6762 Å, 77.11 77.11 90.00°
Element x y z (fractional)
Pb1 0.4075 0.4075 0.1851
Pb2 0.5925 0.5925 0.8149
Te1 0.7500 0.2500 0.5000
Te2 0.2500 0.7500 0.5000
Bi1 0.0000 0.0000 0.0000

* spin magnetization: 0.0 μB/f.u.
* formation energy from raw total energies: 0.034 eV/atom

---

Entry 5:
Here is a relaxed structure of GdDyZnTc from Alexandria via LeMat-Bulk. Energies are from PBE.

Cell: 4.9456 4.9456 4.9456 Å, 60.00 60.00 60.00°
Each line ends with the local moment (μB).
Element x y z (fractional)
Zn1 0.0000 0.0000 0.0000  0.00
Gd1 0.2500 0.2500 0.2500  7.05
Tc1 0.5000 0.5000 0.5000  -0.12
Dy1 0.7500 0.7500 0.7500  0.01

* E_tot: -7.712 eV/atom
* spin magnetization: 7.1 μB/f.u.

---

Entry 6:
Here is a relaxed structure of Na2ZnGa12Ni3 from Alexandria via LeMat-Bulk. Energies are from PBE.

Cell: 7.7152 7.7152 7.7152 Å, 70.47 70.47 70.47°
Element x y z (fractional)
Na1 0.5955 0.5955 0.5955
Na2 0.4045 0.4045 0.4045
Zn1 0.0000 0.0000 0.0000
Ga1 0.2590 0.2590 0.9042
Ga2 0.8577 0.8577 0.3749
Ga3 0.3749 0.8577 0.8577
Ga4 0.9042 0.2590 0.2590
Ga5 0.8577 0.3749 0.8577
Ga6 0.2590 0.9042 0.2590
Ga7 0.7410 0.7410 0.0958
Ga8 0.1423 0.1423 0.6251
Ga9 0.6251 0.1423 0.1423
Ga10 0.0958 0.7410 0.7410
Ga11 0.1423 0.6251 0.1423
Ga12 0.7410 0.0958 0.7410
Ni1 0.5000 0.0000 0.0000
Ni2 0.0000 0.5000 0.0000
Ni3 0.0000 0.0000 0.5000

* E_tot: -3.197 eV/atom
* spin magnetization: 0.0 μB/f.u.

---

Entry 7:
Here is a relaxed structure of Ac3InHg2 from Alexandria via LeMat-Bulk. Energies are from PBE.

Cell: 4.0465 4.0465 12.3055 Å, 90.00 90.00 90.00°
Each line ends with the local moment (μB).
Element x y z (fractional)
Ac1 0.0000 0.0000 0.0000  0.05
Ac2 0.0000 0.0000 0.6694  0.02
Ac3 0.0000 0.0000 0.3306  0.02
In1 0.5000 0.5000 0.5000  0.00
Hg1 0.5000 0.5000 0.8361  0.01
Hg2 0.5000 0.5000 0.1639  0.01

* E_tot: -3.063 eV/atom
* spin magnetization: 0.3 μB/f.u.

---

Entry 8:
Here is a relaxed structure of La2CeNi from Alexandria via LeMat-Bulk. Energies are from PBE.

Cell: 3.8482 3.8482 9.7146 Å, 78.58 78.58 60.00°
Each line ends with the local moment (μB).
Element x y z (fractional)
La1 0.0620 0.0620 0.8141  0.03
La2 0.2719 0.2719 0.1844  0.05
Ce1 0.4997 0.4997 0.5009  1.02
Ni1 0.6665 0.6665 0.0006  0.03

* E_tot: -5.386 eV/atom
* spin magnetization: 1.6 μB/f.u.

---

Entry 9:
Here is a relaxed structure of BaWN3 from Alexandria via LeMat-Bulk. Energies are from PBE.

Cell: 3.9361 7.8918 6.0850 Å, 84.23 108.87 90.00°
Element x y z (fractional)
Ba1 0.8908 0.5150 0.8298
Ba2 0.6316 0.8696 0.3115
W1 0.3177 0.1359 0.6838
W2 0.6137 0.3179 0.2755
N1 0.4750 0.2048 0.9984
N2 0.2872 0.7464 0.6227
N3 0.1546 0.2808 0.3574
N4 0.3130 0.9027 0.6744
N5 0.7846 0.1998 0.6176
N6 0.5691 0.5449 0.1865

* spin magnetization: 0.0 μB/f.u.
* formation energy from raw total energies: -0.520 eV/atom

---

Entry 10:
Here is a relaxed structure of LaSm2DyH from Alexandria via LeMat-Bulk. Energies are from PBE.

Cell: 5.0963 5.1177 5.1177 Å, 90.00 90.00 90.00°
Element x y z (fractional)
La1 0.5000 0.5000 0.5000
Sm1 0.0000 0.0000 0.5000
Sm2 0.0000 0.5000 0.0000
Dy1 0.5000 0.0000 0.0000
H1 0.0000 0.0000 0.0000

* E_tot: -4.635 eV/atom
* spin magnetization: 0.0 μB/f.u.

---

Entry 11:
Here is a relaxed structure of Tm5Pt12Au3 from Alexandria via LeMat-Bulk. Energies are from PBE.

Cell: 13.5292 13.5292 13.5292 Å, 109.47 109.47 109.47°
Element x y z (fractional)
Au1 0.7500 0.3750 0.1250
Au2 0.8750 0.7500 0.1250
Au3 0.3750 0.7500 0.6250
Au4 0.2500 0.1250 0.3750
Au5 0.8750 0.1250 0.2500
Au6 0.3750 0.6250 0.2500
Au7 0.6250 0.3750 0.7500
Au8 0.1250 0.8750 0.7500
Au9 0.7500 0.8750 0.6250
Au10 0.6250 0.2500 0.3750
Au11 0.1250 0.2500 0.8750
Au12 0.2500 0.6250 0.8750
Tm1 0.1250 0.3750 0.2500
Tm2 0.0000 0.5000 0.0000
Tm3 0.0000 0.0000 0.0000
Tm4 0.3750 0.2500 0.1250
Tm5 0.5000 0.0000 0.5000
Tm6 0.5000 0.5000 0.0000
Tm7 0.1250 0.7500 0.3750
Tm8 0.7500 0.1250 0.8750
Tm9 0.7500 0.6250 0.3750
Tm10 0.3750 0.1250 0.7500
Tm11 0.6250 0.8750 0.2500
Tm12 0.5000 0.5000 0.5000
Tm13 0.5000 0.0000 0.0000
Tm14 0.0000 0.0000 0.5000
Tm15 0.2500 0.3750 0.6250
Tm16 0.2500 0.8750 0.1250
Tm17 0.0000 0.5000 0.5000
Tm18 0.8750 0.2500 0.6250
Tm19 0.6250 0.7500 0.8750
Tm20 0.8750 0.6250 0.7500
Pt1 0.7316 0.1485 0.0734
Pt2 0.3417 0.5734 0.4248
Pt3 0.9266 0.3515 0.2684
Pt4 0.5734 0.2316 0.1485
Pt5 0.5831 0.7316 0.6583
Pt6 0.9266 0.5752 0.1583
Pt7 0.3417 0.7684 0.4169
Pt8 0.0752 0.9169 0.1485
Pt9 0.5752 0.9266 0.6583
Pt10 0.7316 0.5831 0.1583
Pt11 0.7684 0.4266 0.3515
Pt12 0.8417 0.9248 0.0734
Pt13 0.1485 0.7316 0.5734
Pt14 0.3515 0.4248 0.0831
Pt15 0.0831 0.9248 0.3515
Pt16 0.4169 0.1485 0.5752
Pt17 0.0831 0.1583 0.2316
Pt18 0.4266 0.6583 0.0752
Pt19 0.8417 0.9169 0.2684
Pt20 0.1485 0.4169 0.0752
Pt21 0.3515 0.9266 0.7684
Pt22 0.5752 0.6485 0.4169
Pt23 0.9248 0.8417 0.5734
Pt24 0.7684 0.3417 0.9169
Pt25 0.4248 0.3515 0.5831
Pt26 0.0752 0.1583 0.4266
Pt27 0.2316 0.6583 0.0831
Pt28 0.1583 0.0831 0.7316
Pt29 0.6485 0.0734 0.2316
Pt30 0.8515 0.5831 0.9248
Pt31 0.5734 0.3417 0.9248
Pt32 0.5831 0.8515 0.4248
Pt33 0.9169 0.8417 0.7684
Pt34 0.9169 0.0752 0.6485
Pt35 0.8515 0.2684 0.4266
Pt36 0.1583 0.0752 0.9266
Pt37 0.6485 0.5752 0.9169
Pt38 0.4248 0.0734 0.3417
Pt39 0.2684 0.4169 0.8417
Pt40 0.2316 0.5734 0.6485
Pt41 0.9248 0.0831 0.8515
Pt42 0.6583 0.2316 0.5831
Pt43 0.4266 0.7684 0.8515
Pt44 0.0734 0.4248 0.8417
Pt45 0.4169 0.2684 0.3417
Pt46 0.0734 0.6485 0.7316
Pt47 0.6583 0.4266 0.5752
Pt48 0.2684 0.8515 0.9266

* E_tot: -5.348 eV/atom
* spin magnetization: 0.0 μB/f.u.

---

Entry 12:
Here is a relaxed structure of SrCeIn2 from Alexandria via LeMat-Bulk. Energies are from PBE.

Cell: 3.8796 5.6616 5.6616 Å, 90.00 90.00 90.00°
Each line ends with the local moment (μB).
Element x y z (fractional)
Sr1 0.5000 0.0000 0.0000  -0.01
Ce1 0.5000 0.5000 0.5000  0.88
In1 0.0000 0.0000 0.5000  0.01
In2 0.0000 0.5000 0.0000  0.01

* E_tot: -3.617 eV/atom
* spin magnetization: 1.0 μB/f.u.